DFT (GGA-PBE) results for crystalline TcAs2N at its relaxed geometry.

size of the total moment	0.0	μB per formula unit
space group	I-42d
formation energy from raw total energies	574	meV/atom

Cell and atoms, written as POSCAR:
```
TcAs2N
1.0
5.3831 0.0000 0.0000
0.0000 5.3831 0.0000
2.6916 2.6916 4.5048
As N Tc
4 2 2
Cartesian
1.6093 4.0373 1.1262
4.0373 4.3009 3.3786
6.7289 6.4653 3.3786
3.7738 1.3458 1.1262
2.6916 5.3831 2.2524
2.6916 2.6916 0.0000
0.0000 0.0000 0.0000
5.3831 2.6916 2.2524
```


DFT (GGA-PBE) results for crystalline SrMgSnAu2 at its relaxed geometry.

size of the total moment	0.0	μB per formula unit
space group	I-4m2
DFT formation energy	-301	kJ/mol of formula units

Cell and atoms, written as POSCAR:
```
SrMgSnAu2
1.0
-0.9216 3.8901 -2.0552
-4.3677 -1.0614 -0.0504
1.9218 1.3007 6.5161
Sn Sr Au Mg
1 1 2 1
Cartesian
-0.8222 3.3026 1.7041
0.0000 0.0000 0.0000
-2.8076 2.0264 0.1786
-0.5599 2.1031 4.2319
-2.5453 0.8269 2.7064
```


DFT (GGA-PBE) results for crystalline NaCo2SbAs at its relaxed geometry.

size of the total moment	3.1	μB per formula unit
space group	P4/mmm
formation energy from raw total energies	1635	meV/atom

Cell and atoms, written as POSCAR:
```
NaCo2SbAs
1.0
4.5906 0.0000 0.0000
0.0000 5.1273 0.0000
0.0000 0.0000 4.5906
As Co Sb Na
1 2 1 1
Cartesian
2.2953 2.5637 2.2953
2.2953 0.0000 0.0000
0.0000 0.0000 2.2953
0.0000 2.5637 0.0000
0.0000 0.0000 0.0000
```


DFT (GGA-PBE) results for crystalline SrTc2 at its relaxed geometry.

size of the total moment	0.0	μB per formula unit
space group	Cmcm
DFT formation energy	92	kJ/mol of formula units

Cell and atoms, written as POSCAR:
```
SrTc2
1.0
6.6582 3.3659 5.1313
-7.1068 0.9199 -5.5352
-2.7028 0.0448 3.4777
Sr Tc
2 4
Cartesian
-0.8483 2.4258 3.4936
-2.3031 1.9048 -0.4198
-5.2538 1.3804 -2.7063
2.5438 2.7661 3.3360
2.1024 2.9502 5.7801
-5.6952 1.5646 -0.2622
```


DFT (GGA-PBE) results for crystalline CsY6S8 at its relaxed geometry.

size of the total moment	0.0	μB per formula unit
space group	P-3
formation energy from raw total energies	-1925	meV/atom

Cell and atoms, written as POSCAR:
```
CsY6S8
1.0
-2.1511 0.6035 3.3052
3.1619 -9.4883 3.7902
5.7232 8.7827 2.1213
Y S Cs
6 8 1
Cartesian
5.1668 -3.4421 5.1904
4.3855 4.7878 5.5962
1.5673 3.3400 4.0263
2.3486 -4.8899 3.6206
2.9245 -1.4109 3.3603
3.8095 1.3088 5.8565
4.2973 -6.1007 5.1206
2.4367 5.9986 4.0961
5.2505 -0.7360 4.7615
2.4052 -2.9462 5.7084
4.3288 2.8440 3.5083
1.4836 0.6339 4.4553
5.8563 2.8001 6.9056
0.8778 -2.9022 2.3111
-1.0756 0.3017 1.6526
```


DFT (GGA-PBE) results for crystalline Ba2TaPb at its relaxed geometry.

size of the total moment	1.6	μB per formula unit
space group	I-42d
DFT formation energy	340	kJ/mol of formula units

Cell and atoms, written as POSCAR:
```
Ba2TaPb
1.0
9.4402 0.0000 0.0000
0.0000 9.4402 0.0000
4.7201 4.7201 3.2033
Ba Pb Ta
4 2 2
Cartesian
2.5751 7.0802 0.8008
11.8003 11.5853 2.4024
7.0802 7.2952 2.4024
6.8652 2.3601 0.8008
0.0000 0.0000 0.0000
9.4402 4.7201 1.6016
4.7201 4.7201 0.0000
4.7201 9.4402 1.6016
```


DFT (GGA-PBE) results for crystalline Ho2TlNi2 at its relaxed geometry.

size of the total moment	0.0	μB per formula unit
space group	R-3m
DFT formation energy	-138	kJ/mol of formula units

Cell and atoms, written as POSCAR:
```
Ho2TlNi2
1.0
4.7882 0.0000 0.0000
2.3941 4.1467 0.0000
2.3941 1.3822 5.0324
Ni Tl Ho
2 1 2
Cartesian
2.3941 1.3822 3.8447
7.1824 4.1467 1.1877
4.7882 2.7645 2.5162
2.3941 1.3822 0.9765
7.1824 4.1467 4.0559
```


DFT (GGA-PBE) results for crystalline NpPaGa5Pt2 at its relaxed geometry.

size of the total moment	3.8	μB per formula unit
space group	P4/mmm
DFT formation energy	-344	kJ/mol of formula units

Cell and atoms, written as POSCAR:
```
NpPaGa5Pt2
1.0
4.1143 0.0000 0.0000
0.0000 4.1143 0.0000
0.0000 0.0000 10.4317
Pt Np Ga Pa
2 1 5 1
Cartesian
2.0572 2.0572 9.1198
2.0572 2.0572 1.3119
0.0000 0.0000 0.0000
0.0000 2.0572 7.5351
2.0572 0.0000 2.8966
2.0572 0.0000 7.5351
2.0572 2.0572 5.2159
0.0000 2.0572 2.8966
0.0000 0.0000 5.2159
```